No. 1
Li4MgTl2Cd: relaxed, GGA-PBE.

Geometry as POSCAR:
```
Li4MgTl2Cd
1.0
4.789 0.000 0.000
0.000 4.789 0.000
0.000 0.000 6.739
Li Mg Tl Cd
4 1 2 1
direct
0.000 0.000 0.000 Li
0.000 0.500 0.239 Li
0.500 0.000 0.761 Li
0.500 0.500 0.500 Li
0.000 0.000 0.500 Mg
0.000 0.500 0.742 Tl
0.500 0.000 0.258 Tl
0.500 0.500 0.000 Cd
```

Results
- electronic total energy (eV per cell) = -16.5

No. 2
Li4Mg2TlCd: relaxed, GGA-PBE.

Geometry as POSCAR:
```
Li4Mg2TlCd
1.0
4.754 0.000 0.000
0.000 4.754 0.000
0.000 0.000 6.699
Li Mg Tl Cd
4 2 1 1
direct
0.000 0.000 0.000 Li
0.000 0.500 0.248 Li
0.500 0.000 0.752 Li
0.500 0.500 0.500 Li
0.000 0.500 0.754 Mg
0.500 0.000 0.246 Mg
0.000 0.000 0.500 Tl
0.500 0.500 0.000 Cd
```

Results
- electronic total energy (eV per cell) = -15.6

No. 3
LiCdMo2: relaxed, GGA-PBE.

Geometry as POSCAR:
```
LiCdMo2
1.0
0.000 3.182 3.182
3.182 0.000 3.182
3.182 3.182 0.000
Li Cd Mo
1 1 2
direct
0.000 0.000 0.000 Li
0.250 0.250 0.250 Cd
0.500 0.500 0.500 Mo
0.750 0.750 0.750 Mo
```

Results
- electronic total energy (eV per cell) = -22.6

No. 4
Li2CdMo: relaxed, GGA-PBE.

Geometry as POSCAR:
```
Li2CdMo
1.0
0.000 3.212 3.212
3.212 0.000 3.212
3.212 3.212 0.000
Li Cd Mo
2 1 1
direct
0.000 0.000 0.000 Li
0.250 0.250 0.250 Li
0.750 0.750 0.750 Cd
0.500 0.500 0.500 Mo
```

Results
- electronic total energy (eV per cell) = -13.4

Question: Look up the electronic total energy of the second one.
Answer: -15.6 eV per cell

Question: What is the electronic total energy in the third record?
Answer: -22.6 eV per cell